This record from Alexandria via LeMat-Bulk describes crystalline SrCuPO2 at its relaxed geometry. The functional is PBE.

**Final energy**: -3.696 eV per atom
**Formation energy from raw total energies**: 0.52 eV per atom
**Distance to the lowest polymorph of the same formula**: 1066 meV/atom

Lattice parameters (Å, degrees): 4.0987 4.0987 6.1814 90.00 90.00 90.00
With the nearest neighbours (Å) after each atom.
Space group P4/mmm (No. 123)
One atom of each set of equivalent atoms:
Sr: 0.0000 0.0000 0.0000 x1  4 O 2.05
Cu: 0.5000 0.5000 0.5000 x1  4 P 2.90
P: 0.0000 0.0000 0.5000 x1  4 Cu 2.90, 2 Sr 3.09
O: 0.0000 0.5000 0.0000 x2  2 Sr 2.05